Material: KBeOs2
Method: DFT, PBE
State: optimized geometry

Results
For the formation energy, the calculation gives 625 meV per atom. The calculated density is 8.958 g cm⁻³. Its density of states at the Fermi level is 2.4 states/eV per cell.

abc: 2.780 4.135 7.045
angles: 90.00 101.22 90.00
Space group Pm (No. 6)
Unique sites:
K: 0.000 0.000 0.000
Be: 0.328 0.500 0.659
Os: 0.257 0.000 0.509
Os: 0.699 0.500 0.393



Material: NaCu4Sb
Method: DFT, PBE
State: optimized geometry

Results
The calculation puts the formation energy from raw total energies at -23 meV per atom. The calculated density is 7.176 g cm⁻³. Its density of states at the Fermi level is 7.0 states/eV per cell.

abc: 7.174 7.174 7.174
angles: 90.00 90.00 90.00
Space group F-43m (No. 216)
Unique sites:
Na: 0.000 0.000 0.000
Cu: 0.126 0.126 0.374
Sb: 0.250 0.250 0.750



Material: K3La3NbSe8
Method: DFT, PBE
State: optimized geometry

Results
The calculation puts the formation energy from raw total energies at -1551 meV per atom. The calculated density is 4.189 g cm⁻³. Its density of states at the Fermi level is 18.1 states/eV per cell.

abc: 8.5799 8.5799 23.4790
angles: 90.00 90.00 120.00
Space group R-3m (No. 166, hexagonal axes)
Unique sites:
K: 0.0000 0.5000 0.0000
La: 0.0000 0.5000 0.5000
Nb: 0.0000 0.0000 0.5000
Se: 0.0000 0.0000 0.2385
Se: 0.0337 0.5168 0.2317



Material: PrNi6Sn6
Method: DFT, PBE
State: optimized geometry

Results
For the formation energy, the calculation gives -295 meV per atom. The calculated density is 8.828 g cm⁻³. Its density of states at the Fermi level is 15.0 states/eV per cell.

abc: 5.499 8.721 9.454
angles: 90.00 90.00 90.00
Space group Immm (No. 71)
Unique sites:
Pr: 0.000 0.000 0.000
Ni: 0.000 0.250 0.500
Ni: 0.250 0.250 0.250
Sn: 0.000 0.000 0.338
Sn: 0.000 0.339 0.000
Sn: 0.000 0.500 0.329



Material: RbNpAlS4
Method: DFT, PBE
State: optimized geometry

Results
The calculation puts the formation energy from raw total energies at -1235 meV per atom. The calculated density is 4.222 g cm⁻³. Its density of states at the Fermi level is 15.8 states/eV per cell.

abc: 6.502 6.652 9.168
angles: 90.00 108.63 90.00
Space group P2_1/m (No. 11)
Unique sites:
Rb: 0.233 0.250 0.442
Np: 0.278 0.250 0.950
Al: 0.267 0.750 0.161
S: 0.038 0.750 0.921
S: 0.064 0.750 0.315
S: 0.491 0.505 0.806



Material: RhBrOF2
Method: DFT, PBE
State: optimized geometry

Results
As for the offset from the most stable computed form: 885.3 meV/atom. The calculation puts the formation energy from raw total energies at 435 meV per atom. The calculated density is 4.655 g cm⁻³. Its density of states at the Fermi level is 11.2 states/eV per cell.

abc: 4.785 4.785 3.689
angles: 90.00 90.00 90.00
Space group P4/mmm (No. 123)
Unique sites:
Rh: 0.000 0.000 0.000
Br: 0.500 0.500 0.500
O: 0.500 0.500 0.000
F: 0.000 0.500 0.500



Material: BaAsIr2
Method: DFT, PBE
State: optimized geometry

Results
For the formation energy, the calculation gives 343 meV per atom. The calculated density is 10.398 g cm⁻³. Its density of states at the Fermi level is 5.0 states/eV per cell.

abc: 3.690 5.987 8.627
angles: 90.00 90.00 90.00
Space group Immm (No. 71)
Unique sites:
Ba: 0.000 0.000 0.000
As: 0.000 0.000 0.500
Ir: 0.000 0.500 0.176



Material: Ti4ZnRu
Method: DFT, PBE
State: optimized geometry

Results
For the formation energy, the calculation gives 108 meV per atom. The calculated density is 5.383 g cm⁻³. Its density of states at the Fermi level is 19.5 states/eV per cell.

abc: 7.528 4.322 7.229
angles: 90.00 110.13 90.00
Space group C2/m (No. 12)
Unique sites:
Ti: 0.122 0.000 0.362
Ti: 0.129 0.500 0.890
Zn: 0.000 0.500 0.500
Ru: 0.000 0.000 0.000



Material: TiAsIO2
Method: DFT, PBE
State: optimized geometry

Results
As for the offset from the most stable computed form: 0.0 meV/atom. The calculation puts the formation energy from raw total energies at -958 meV per atom. The calculated density is 4.774 g cm⁻³. Its density of states at the Fermi level is 3.0 states/eV per cell.

abc: 3.876 3.876 6.520
angles: 90.00 90.00 90.00
Space group P4/mmm (No. 123)
Unique sites:
Ti: 0.000 0.000 0.000
As: 0.500 0.500 0.500
I: 0.000 0.000 0.500
O: 0.000 0.500 0.000



Material: RbOsRh
Method: DFT, PBE
State: optimized geometry

Results
For the formation energy, the calculation gives 554 meV per atom. As for the offset from the most stable computed form: 75.2 meV/atom. The calculated density is 7.051 g cm⁻³. Its density of states at the Fermi level is 5.5 states/eV per cell.

abc: 4.394 4.109 9.903
angles: 90.00 94.27 90.00
Space group P2_1/m (No. 11)
Unique sites:
Rb: 0.221 0.250 0.320
Os: 0.164 0.750 0.009
Rh: 0.338 0.250 0.873



Material: SbBr2Cl
Method: DFT, PBE
State: optimized geometry

Results
As for the offset from the most stable computed form: 495.8 meV/atom. The calculation puts the formation energy from raw total energies at -198 meV per atom. The calculated density is 4.483 g cm⁻³. Its density of states at the Fermi level is 5.7 states/eV per cell.

abc: 4.3971 4.3971 21.0397
angles: 90.00 90.00 120.00
Space group R-3m (No. 166, hexagonal axes)
Unique sites:
Sb: 0.0000 0.0000 0.0000
Br: 0.0000 0.0000 0.2630
Cl: 0.0000 0.0000 0.5000



Material: Sm2CdH
Method: DFT, PBE
State: optimized geometry

Results
As for the offset from the most stable computed form: 214.1 meV/atom. The calculated density is 7.852 g cm⁻³. Its density of states at the Fermi level is 3.9 states/eV per cell.

abc: 3.344 3.344 7.834
angles: 90.00 90.00 90.00
Space group P4/mmm (No. 123)
Unique sites:
Sm: 0.000 0.000 0.209
Cd: 0.500 0.500 0.500
H: 0.500 0.500 0.000



Material: RbNa6Sn
Method: DFT, PBE
State: optimized geometry

Results
For the formation energy, the calculation gives 45 meV per atom. The calculated density is 1.661 g cm⁻³. Its density of states at the Fermi level is 10.2 states/eV per cell.

abc: 8.6063 8.6063 15.9956
angles: 90.00 90.00 120.00
Space group R-3m (No. 166, hexagonal axes)
Unique sites:
Rb: 0.0000 0.0000 0.0000
Na: 0.0605 0.5303 0.9000
Sn: 0.0000 0.0000 0.5000



Material: SrTe2Pb
Method: DFT, PBE
State: optimized geometry

Results
The calculation puts the formation energy from raw total energies at -1021 meV per atom. The calculated density is 6.132 g cm⁻³. Its density of states at the Fermi level is 0.0 states/eV per cell.

abc: 4.6587 4.6587 7.9256
angles: 90.00 90.00 120.00
Space group P-3m1 (No. 164)
Unique sites:
Sr: 0.0000 0.0000 0.0000
Te: 0.3333 0.6667 0.7456
Pb: 0.0000 0.0000 0.5000



Material: Sr2SbRh4Pb3
Method: DFT, PBE
State: optimized geometry

Results
The calculation puts the formation energy from raw total energies at -395 meV per atom. The calculated density is 9.218 g cm⁻³. Its density of states at the Fermi level is 4.9 states/eV per cell.

abc: 4.712 4.712 10.794
angles: 90.00 90.00 90.00
Space group P-4m2 (No. 115)
Unique sites:
Sr: 0.000 0.500 0.245
Sb: 0.000 0.000 0.500
Rh: 0.000 0.000 0.000
Rh: 0.000 0.500 0.622
Rh: 0.500 0.500 0.000
Pb: 0.000 0.500 0.872
Pb: 0.500 0.500 0.500



Material: LiNdGeRh
Method: DFT, PBE
State: optimized geometry

Results
For the formation energy, the calculation gives -550 meV per atom. The calculated density is 7.479 g cm⁻³. Its density of states at the Fermi level is 19.8 states/eV per cell.

abc: 6.620 6.620 6.620
angles: 90.00 90.00 90.00
Space group F-43m (No. 216)
Unique sites:
Li: 0.000 0.000 0.000
Nd: 0.250 0.250 0.250
Ge: 0.250 0.250 0.750
Rh: 0.000 0.000 0.500



Material: Pm4SmAl
Method: DFT, PBE
State: optimized geometry

Results
For the formation energy, the calculation gives -87 meV per atom. As for the offset from the most stable computed form: 12.3 meV/atom. The calculated density is 6.626 g cm⁻³. Its density of states at the Fermi level is 13.6 states/eV per cell.

abc: 12.431 3.784 8.738
angles: 90.00 112.55 90.00
Space group C2/m (No. 12)
Unique sites:
Pm: 0.143 0.000 0.359
Pm: 0.164 0.000 0.799
Sm: 0.000 0.500 0.000
Al: 0.000 0.500 0.500



Material: CsSbP2O
Method: DFT, PBE
State: optimized geometry

Results
The calculation puts the formation energy from raw total energies at 1385 meV per atom. The calculated density is 4.348 g cm⁻³. Its density of states at the Fermi level is 4.1 states/eV per cell.

abc: 5.464 5.464 4.255
angles: 90.00 90.00 90.00
Space group P4/mmm (No. 123)
Unique sites:
Cs: 0.000 0.000 0.000
Sb: 0.500 0.500 0.500
P: 0.000 0.500 0.000
O: 0.000 0.000 0.500



Material: YTm2Ir3
Method: DFT, PBE
State: optimized geometry

Results
For the formation energy, the calculation gives -869 meV per atom. The calculated density is 14.132 g cm⁻³. Its density of states at the Fermi level is 2.6 states/eV per cell.

abc: 4.8074 4.8074 5.8907
angles: 90.00 90.00 120.00
Space group P-3m1 (No. 164)
Unique sites:
Y: 0.0000 0.0000 0.0000
Tm: 0.3333 0.6667 0.6656
Ir: 0.0000 0.0000 0.5000
Ir: 0.3333 0.6667 0.1705



Material: Tb2Nd3ErS6
Method: DFT, PBE
State: optimized geometry

Results
The calculation puts the formation energy from raw total energies at -2016 meV per atom. The calculated density is 6.850 g cm⁻³. Its density of states at the Fermi level is 10.8 states/eV per cell.

abc: 6.856 11.915 6.976
angles: 90.00 109.19 90.00
Space group C2/m (No. 12)
Unique sites:
Tb: 0.000 0.167 0.000
Nd: 0.000 0.000 0.500
Nd: 0.000 0.332 0.500
Er: 0.000 0.500 0.000
S: 0.243 0.335 0.234
S: 0.249 0.000 0.236